Computed, not measured: a relaxed Tb3Te crystal at the PBE level of DFT.

## Properties
- symmetry = Imm2, No. 44
- calculated density (Mg/m³) = 8.46
- E_form (uncorrected) (eV per atom) = -0.539

Lattice parameters (Å, degrees): 3.8010 5.9814 6.3095 118.29 107.53 90.00
Fractional coordinates of all 4 atoms:
Tb 0.5000 0.4533 0.0000
Tb 0.7225 0.0629 0.4450
Tb 0.2775 0.6180 0.5550
Te 0.0000 0.0325 0.0000



Computed, not measured: a relaxed BaAgO2 crystal at the PBE level of DFT.

## Properties
- symmetry = P4/mmm, No. 123
- calculated density (Mg/m³) = 6.32
- E_form (uncorrected) (eV per atom) = -1.099

Lattice parameters (Å, degrees): 3.8194 6.2866 6.2866 105.19 90.00 90.00
Fractional coordinates of all 8 atoms:
Ag 0.5000 0.0000 0.5000
Ba 0.0000 0.0000 0.0000
O 0.5000 0.2500 0.2500
O 0.0000 0.2500 0.7500
Ag 0.5000 0.5000 0.0000
O 0.5000 0.7500 0.7500
O 0.0000 0.7500 0.2500
Ba 0.0000 0.5000 0.5000



Computed, not measured: a relaxed PuPt8Pb3 crystal at the PBE level of DFT.

## Properties
- symmetry = P3m1, No. 156
- calculated density (Mg/m³) = 17.21
- ΔE_f (meV/atom) = -295

Lattice parameters (Å, degrees): 5.4967 5.4967 8.9468 90.00 90.00 120.00
Fractional coordinates of all 12 atoms:
Pt 0.9968 0.4984 0.7450
Pt 0.3333 0.6667 0.9968
Pu 0.0000 0.0000 0.5684
Pb 0.6667 0.3333 0.4328
Pt 0.1653 0.3305 0.2538
Pt 0.5016 0.0032 0.7450
Pb 0.0000 0.0000 0.9461
Pb 0.6667 0.3333 0.0594
Pt 0.3333 0.6667 0.5002
Pt 0.1653 0.8347 0.2538
Pt 0.5016 0.4984 0.7450
Pt 0.6695 0.8347 0.2538



Computed, not measured: a relaxed Ho2InCu2Rh5 crystal at the PBE level of DFT.

## Properties
- symmetry = P4/mbm, No. 127
- calculated density (Mg/m³) = 10.72
- ΔE_f (meV/atom) = -496

Lattice parameters (Å, degrees): 3.8699 9.3254 9.3254 90.00 90.00 90.00
Fractional coordinates of all 20 atoms:
Rh 0.5000 0.2087 0.0715
Rh 0.5000 0.2913 0.5715
Ho 0.0000 0.3255 0.8255
Ho 0.0000 0.1745 0.3255
Rh 0.5000 0.7913 0.9285
Ho 0.0000 0.6745 0.1745
Rh 0.5000 0.7087 0.4285
Cu 0.0000 0.6214 0.8786
Cu 0.0000 0.8786 0.3786
Rh 0.5000 0.0715 0.7913
Rh 0.5000 0.4285 0.2913
Rh 0.5000 0.0000 0.5000
Rh 0.5000 0.5000 0.0000
In 0.0000 0.0000 0.0000
Cu 0.0000 0.3786 0.1214
Rh 0.5000 0.9285 0.2087
Cu 0.0000 0.1214 0.6214
Rh 0.5000 0.5715 0.7087
Ho 0.0000 0.8255 0.6745
In 0.0000 0.5000 0.5000



Computed, not measured: a relaxed Ce2PrCd2Hg2 crystal at the PBE level of DFT.

## Properties
- symmetry = C2/m, No. 12
- calculated density (Mg/m³) = 9.42
- ΔE_f (meV/atom) = -238

Lattice parameters (Å, degrees): 4.5876 5.6199 7.9099 96.67 90.00 114.09
Fractional coordinates of all 7 atoms:
Ce 0.1176 0.2353 0.4364
Pr 0.0000 0.0000 0.0000
Hg 0.7096 0.4192 0.1650
Ce 0.8824 0.7647 0.5636
Hg 0.2904 0.5808 0.8350
Cd 0.5995 0.1991 0.7346
Cd 0.4005 0.8009 0.2654



Computed, not measured: a relaxed Ga2Ni3 crystal at the PBE level of DFT.

## Properties
- symmetry = C2/m, No. 12
- calculated density (Mg/m³) = 8.63
- ΔE_f (meV/atom) = -309

Lattice parameters (Å, degrees): 3.9994 4.0106 4.9367 66.34 66.10 60.09
Fractional coordinates of all 5 atoms:
Ni 0.7934 0.2936 0.1196
Ga 0.4006 0.8999 0.2988
Ni 0.0000 0.5000 0.5000
Ni 0.2066 0.7064 0.8804
Ga 0.5994 0.1001 0.7012



Computed, not measured: a relaxed CsHBr2Cl crystal at the PBE level of DFT.

## Properties
- symmetry = P4/mmm, No. 123
- calculated density (Mg/m³) = 3.25
- DFT total energy (eV/cell) = -11.271

Lattice parameters (Å, degrees): 4.5200 8.2406 4.5200 90.00 90.00 90.00
Fractional coordinates of all 5 atoms:
Cl 0.5000 0.5000 0.5000
Br 0.5000 0.0000 0.0000
Br 0.0000 0.0000 0.5000
Cs 0.0000 0.5000 0.0000
H 0.0000 0.0000 0.0000



Computed, not measured: a relaxed La2DyY5Ho crystal at the PBE level of DFT.

## Properties
- symmetry = Cmc2_1, No. 36
- calculated density (Mg/m³) = 5.72
- ΔE_f (meV/atom) = 137

Lattice parameters (Å, degrees): 5.6761 10.4238 10.7083 90.00 90.00 105.80
Fractional coordinates of all 18 atoms:
La 0.8865 0.7729 0.2339
Ho 0.1977 0.3955 0.0128
Y 0.3830 0.7660 0.0211
Y 0.6170 0.2340 0.5211
Y 0.7009 0.4018 0.2043
Y 0.2991 0.5982 0.7043
Dy 0.4126 0.8253 0.4589
Y 0.2792 0.5584 0.3144
Ho 0.8023 0.6045 0.5128
Y 0.5193 0.0385 0.2390
La 0.1149 0.2299 0.3183
La 0.1135 0.2271 0.7339
Dy 0.5874 0.1747 0.9589
La 0.8851 0.7701 0.8183
Y 0.9844 0.9688 0.5212
Y 0.4807 0.9615 0.7390
Y 0.0156 0.0312 0.0212
Y 0.7208 0.4416 0.8144



Computed, not measured: a relaxed Ce2PSe5 crystal at the PBE level of DFT.

## Properties
- symmetry = P1, No. 1
- calculated density (Mg/m³) = 5.49
- E_form (uncorrected) (eV per atom) = -1.010

Lattice parameters (Å, degrees): 7.6428 7.2674 7.2991 129.54 134.19 74.01
Fractional coordinates of all 8 atoms:
Se 0.7837 0.8432 0.0639
P 0.9818 0.0475 0.0122
Se 0.2633 0.2469 0.0600
Ce 0.1893 0.7066 0.5345
Ce 0.8204 0.3305 0.5946
Se 0.2757 0.6599 0.9569
Se 0.7698 0.6802 0.4699
Se 0.6931 0.2621 0.8621



Computed, not measured: a relaxed MnGaH crystal at the PBE level of DFT.

## Properties
- symmetry = P-1, No. 2
- calculated density (Mg/m³) = 6.81
- DFT total energy (eV/cell) = -30.524

Lattice parameters (Å, degrees): 6.4059 3.9747 4.0338 114.40 99.99 126.70
Fractional coordinates of all 6 atoms:
H 0.7760 0.7595 0.7048
Ga 0.8252 0.4076 0.1822
Mn 0.4391 0.2990 0.6593
Mn 0.5609 0.7010 0.3407
Ga 0.1748 0.5924 0.8178
H 0.2240 0.2405 0.2952



Computed, not measured: a relaxed CdAgSnBr5 crystal at the PBE level of DFT.

## Properties
- symmetry = C2/c, No. 15
- calculated density (Mg/m³) = 4.83
- E_form (uncorrected) (eV per atom) = -0.631

Lattice parameters (Å, degrees): 8.0735 8.0735 9.6732 95.54 95.54 124.61
Fractional coordinates of all 16 atoms:
Br 0.7580 0.5482 0.4817
Ag 0.7129 0.2871 0.2500
Br 0.9160 0.0840 0.7500
Br 0.3547 0.0323 0.6227
Ag 0.2871 0.7129 0.7500
Sn 0.4488 0.5512 0.2500
Br 0.9677 0.6453 0.8773
Br 0.0840 0.9160 0.2500
Br 0.4518 0.2420 0.0183
Br 0.5482 0.7580 0.9817
Br 0.0323 0.3547 0.1227
Br 0.2420 0.4518 0.5183
Cd 0.0000 0.0000 0.5000
Sn 0.5512 0.4488 0.7500
Cd 0.0000 0.0000 0.0000
Br 0.6453 0.9677 0.3773



Computed, not measured: a relaxed CrCd2W crystal at the PBE level of DFT.

## Properties
- symmetry = Cmm2, No. 35
- calculated density (Mg/m³) = 10.80
- ΔE_f (meV/atom) = 370

Lattice parameters (Å, degrees): 2.8329 2.8329 9.5847 90.00 90.00 112.93
Fractional coordinates of all 4 atoms:
Cr 0.0000 0.0000 0.5239
Cd 0.5000 0.5000 0.2763
Cd 0.0000 0.0000 0.9838
W 0.5000 0.5000 0.7159



Computed, not measured: a relaxed LaYZn2As crystal at the PBE level of DFT.

## Properties
- symmetry = P4/mmm, No. 123
- calculated density (Mg/m³) = 4.52
- ΔE_f (meV/atom) = 401

Lattice parameters (Å, degrees): 5.3636 5.5401 5.3636 90.00 90.00 90.00
Fractional coordinates of all 5 atoms:
Y 0.5000 0.5000 0.5000
La 0.0000 0.0000 0.0000
As 0.0000 0.5000 0.0000
Zn 0.0000 0.0000 0.5000
Zn 0.5000 0.0000 0.0000



Computed, not measured: a relaxed Ho2Sc2Ge2C crystal at the PBE level of DFT.

## Properties
- symmetry = I4/mmm, No. 139
- calculated density (Mg/m³) = 6.60
- ΔE_f (meV/atom) = -853

Lattice parameters (Å, degrees): 4.3958 4.3958 8.1289 105.69 105.69 90.00
Fractional coordinates of all 7 atoms:
Sc 0.0000 0.5000 0.0000
C 0.0000 0.0000 0.0000
Sc 0.5000 0.0000 0.0000
Ho 0.1651 0.1651 0.3301
Ge 0.3661 0.3661 0.7322
Ge 0.6339 0.6339 0.2678
Ho 0.8349 0.8349 0.6699



Computed, not measured: a relaxed MnIn crystal at the PBE level of DFT.

## Properties
- symmetry = Pnma, No. 62
- calculated density (Mg/m³) = 7.94
- ΔE_f (meV/atom) = 251

Lattice parameters (Å, degrees): 10.6393 4.7030 5.6763 90.00 90.00 90.00
Fractional coordinates of all 16 atoms:
In 0.6780 0.2500 0.5126
In 0.1780 0.2500 0.9874
Mn 0.1805 0.2500 0.4894
Mn 0.4186 0.2500 0.7303
In 0.4360 0.2500 0.2156
In 0.9360 0.2500 0.2844
Mn 0.6805 0.2500 0.0106
Mn 0.0814 0.7500 0.2303
Mn 0.8195 0.7500 0.5106
In 0.3220 0.7500 0.4874
Mn 0.9186 0.2500 0.7697
In 0.5640 0.7500 0.7844
Mn 0.3195 0.7500 0.9894
In 0.8220 0.7500 0.0126
Mn 0.5814 0.7500 0.2697
In 0.0640 0.7500 0.7156



Computed, not measured: a relaxed Tl4AgW crystal at the PBE level of DFT.

## Properties
- symmetry = F-43m, No. 216
- calculated density (Mg/m³) = 10.99
- ΔE_f (meV/atom) = 1181

Lattice parameters (Å, degrees): 6.1888 6.1888 6.1888 60.00 60.00 60.00
Fractional coordinates of all 6 atoms:
Tl 0.8747 0.3751 0.3751
Tl 0.3751 0.3751 0.3751
W 0.7500 0.7500 0.7500
Tl 0.3751 0.8747 0.3751
Ag 0.0000 0.0000 0.0000
Tl 0.3751 0.3751 0.8747



Computed, not measured: a relaxed In2Pd3Pt8 crystal at the PBE level of DFT.

## Properties
- symmetry = C2/m, No. 12
- calculated density (Mg/m³) = 15.59
- ΔE_f (meV/atom) = -60

Lattice parameters (Å, degrees): 4.8600 7.1394 7.3976 118.85 88.56 90.00
Fractional coordinates of all 13 atoms:
Pt 0.3224 0.3673 0.3483
Pd 0.0000 0.1879 0.0000
Pt 0.1831 0.8146 0.6292
Pd 0.0000 0.8121 0.0000
Pt 0.7325 0.4369 0.8737
In 0.2334 0.3516 0.7033
Pt 0.8169 0.1854 0.3708
Pd 0.5000 0.0000 0.0000
Pt 0.6776 0.6327 0.6517
Pt 0.6776 0.0190 0.6517
Pt 0.3224 0.9810 0.3483
Pt 0.2675 0.5631 0.1263
In 0.7666 0.6484 0.2967



Values of DOS(E_F), in order: 4.6, 3.5, 19.7, 10.3, 11.8, 2.8, 5.0, 12.5, 13.3, 0.9, 0.0, 2.2, 5.9, 0.6, 1.5, 4.7, 15.5, all in states/eV/f.u..